The following is a PBE with a Hubbard U calculation of crystalline MnRuNO at its relaxed geometry, from Alexandria.

a b c (Å): 3.177 3.177 17.258
angles (deg): 90.00 90.00 120.00
Atoms (fractional coordinates):
Mn: 0.000 0.000 0.000
Mn: 0.333 0.667 0.667
Mn: 0.667 0.333 0.333
Ru: 0.000 0.000 0.485
Ru: 0.333 0.667 0.151
Ru: 0.667 0.333 0.818
N: 0.000 0.000 0.374
N: 0.333 0.667 0.041
N: 0.667 0.333 0.708
O: 0.000 0.000 0.879
O: 0.333 0.667 0.546
O: 0.667 0.333 0.212

Values from the calculation:
Space-group type   No. 160
Raw total energy   -7.60 eV per atom
E above lowest polymorph   324 meV per atom